The following is a DFT calculation (GGA-PBE) of an optimized crystal structure of Pr3ScBi4.

Lattice parameters (Å, degrees): 7.8955 7.8835 9.1350 90.00 90.00 109.51
Last column: nearest neighbours and their distance in Å.
Fractional coordinates of all 16 atoms:
Pr 0.7500 0.0000 0.3737  6 Bi 3.23-3.24
Pr 0.2500 0.0000 0.6263  6 Bi 3.23-3.24
Pr 0.7500 0.5000 0.6271  6 Bi 3.22-3.34
Pr 0.7500 0.5000 0.1242  6 Bi 3.22-3.33
Pr 0.2500 0.5000 0.3729  6 Bi 3.22-3.34
Pr 0.2500 0.5000 0.8758  6 Bi 3.22-3.33
Sc 0.7500 0.0000 0.8754  6 Bi 3.11-3.12
Sc 0.2500 0.0000 0.1246  6 Bi 3.11-3.12
Bi 0.9918 0.2423 0.6331  1 Sc 3.12, 5 Pr 3.22-3.34
Bi 0.5002 0.2329 0.8842  2 Sc 3.11, 4 Pr 3.22-3.33
Bi 0.4918 0.2423 0.3669  1 Sc 3.12, 5 Pr 3.22-3.34
Bi 0.0002 0.2329 0.1158  2 Sc 3.11, 4 Pr 3.22-3.33
Bi 0.9998 0.7671 0.8842  2 Sc 3.11, 4 Pr 3.22-3.33
Bi 0.5082 0.7577 0.6331  1 Sc 3.12, 5 Pr 3.22-3.34
Bi 0.4998 0.7671 0.1158  2 Sc 3.11, 4 Pr 3.22-3.33
Bi 0.0082 0.7577 0.3669  1 Sc 3.12, 5 Pr 3.22-3.34

Summary:
- Crystal system: monoclinic
- ΔH_f (0 K): -19.762 kcal/mol of atoms
- Total energy: -5.381 eV per atom
- Spin magnetization: 0.00 Bohr magnetons per cell